# 1
Below is a relaxed Pm2ErMnS5 crystal, with properties calculated at the PBE-GGA level.

The structure in CIF format:
```
data_Pm2ErMnS5
_space_group_name_H-M_alt 'C m c 21'
_space_group_IT_number 36
_cell_length_a 3.899
_cell_length_b 16.478
_cell_length_c 11.908
_cell_angle_alpha 90.00
_cell_angle_beta 90.00
_cell_angle_gamma 90.00
loop_
_space_group_symop_operation_xyz
'x,y,z'
'-x,-y,z+1/2'
'-x,y,z'
'x,-y,z+1/2'
'x+1/2,y+1/2,z'
'-x+1/2,-y+1/2,z+1/2'
'-x+1/2,y+1/2,z'
'x+1/2,-y+1/2,z+1/2'
loop_
_atom_site_label
_atom_site_type_symbol
_atom_site_fract_x
_atom_site_fract_y
_atom_site_fract_z
_atom_site_occupancy
Pm1 Pm 0.000 0.119 0.000 1
Pm2 Pm 0.000 0.122 0.651 1
Er1 Er 0.000 0.185 0.332 1
Mn1 Mn 0.000 0.449 0.736 1
S1 S 0.000 0.018 0.332 1
S2 S 0.000 0.301 0.992 1
S3 S 0.000 0.311 0.669 1
S4 S 0.000 0.347 0.325 1
S5 S 0.000 0.493 0.062 1
```

Summary:
Energy   -6.593 eV per atom
Total magnetization   17.389 Bohr magnetons per cell

# 2
Below is a relaxed K2TlSe crystal, with properties calculated at the PBE-GGA level.

The structure in CIF format:
```
data_K2TlSe
_space_group_name_H-M_alt 'I -4 m 2'
_space_group_IT_number 119
_space_group_name_Hall 'I -4 -2'
_cell_length_a 4.964
_cell_length_b 4.964
_cell_length_c 10.815
_cell_angle_alpha 90.00
_cell_angle_beta 90.00
_cell_angle_gamma 90.00
loop_
_atom_site_label
_atom_site_type_symbol
_atom_site_fract_x
_atom_site_fract_y
_atom_site_fract_z
_atom_site_occupancy
K1 K 0.000 0.000 0.000 1
K2 K 0.000 0.500 0.250 1
Tl1 Tl 0.000 0.000 0.500 1
Se1 Se 0.000 0.500 0.750 1
```

Summary:
Energy   -2.478 eV per atom
Total magnetization   0.000 Bohr magnetons per cell

# 3
Below is a relaxed ScTlCd crystal, with properties calculated at the PBE-GGA level.

The structure in CIF format:
```
data_ScTlCd
_space_group_name_H-M_alt 'P 1 21/m 1'
_space_group_IT_number 11
_cell_length_a 4.411
_cell_length_b 4.454
_cell_length_c 7.348
_cell_angle_alpha 90.00
_cell_angle_beta 104.95
_cell_angle_gamma 90.00
loop_
_space_group_symop_operation_xyz
'x,y,z'
'-x,-y,-z'
'-x,y+1/2,-z'
'x,-y+1/2,z'
loop_
_atom_site_label
_atom_site_type_symbol
_atom_site_fract_x
_atom_site_fract_y
_atom_site_fract_z
_atom_site_occupancy
Sc1 Sc 0.092 0.250 0.175 1
Tl1 Tl 0.408 0.250 0.825 1
Cd1 Cd 0.254 0.750 0.506 1
```

Summary:
Energy   -3.354 eV per atom
Total magnetization   0.000 Bohr magnetons per cell

# 4
Below is a relaxed Tc4Au crystal, with properties calculated at the PBE-GGA level.

The structure in CIF format:
```
data_Tc4Au
_space_group_name_H-M_alt 'I 4/m'
_space_group_IT_number 87
_space_group_name_Hall '-I 4'
_cell_length_a 6.163
_cell_length_b 6.163
_cell_length_c 3.974
_cell_angle_alpha 90.00
_cell_angle_beta 90.00
_cell_angle_gamma 90.00
loop_
_atom_site_label
_atom_site_type_symbol
_atom_site_fract_x
_atom_site_fract_y
_atom_site_fract_z
_atom_site_occupancy
Tc1 Tc 0.087 0.305 0.000 1
Au1 Au 0.000 0.000 0.500 1
```

Summary:
Energy   -8.791 eV per atom
Total magnetization   0.000 Bohr magnetons per cell

# 5
Below is a relaxed TlIn8Bi6 crystal, with properties calculated at the PBE-GGA level.

The structure in CIF format:
```
data_TlIn8Bi6
_space_group_name_H-M_alt 'R -3'
_space_group_IT_number 148
_space_group_name_Hall '-R 3'
_cell_length_a 8.9414
_cell_length_b 8.9414
_cell_length_c 21.8568
_cell_angle_alpha 90.00
_cell_angle_beta 90.00
_cell_angle_gamma 120.00
loop_
_atom_site_label
_atom_site_type_symbol
_atom_site_fract_x
_atom_site_fract_y
_atom_site_fract_z
_atom_site_occupancy
Tl1 Tl 0.0000 0.0000 0.0000 1
In1 In 0.0000 0.0000 0.3348 1
In2 In 0.0039 0.3272 0.1184 1
Bi1 Bi 0.0037 0.3449 0.9292 1
```

Summary:
Energy   -3.136 eV per atom
Total magnetization   0.000 Bohr magnetons per cell

# 6
Below is a relaxed Li2Ga3Au4 crystal, with properties calculated at the PBE-GGA level.

The structure in CIF format:
```
data_Li2Ga3Au4
_space_group_name_H-M_alt 'C m c e'
_space_group_IT_number 64
_space_group_name_Hall '-C 2ac 2'
_cell_length_a 5.849
_cell_length_b 15.765
_cell_length_c 7.283
_cell_angle_alpha 90.00
_cell_angle_beta 90.00
_cell_angle_gamma 90.00
loop_
_atom_site_label
_atom_site_type_symbol
_atom_site_fract_x
_atom_site_fract_y
_atom_site_fract_z
_atom_site_occupancy
Li1 Li 0.000 0.087 0.110 1
Ga1 Ga 0.000 0.000 0.500 1
Ga2 Ga 0.250 0.241 0.750 1
Au1 Au 0.000 0.169 0.468 1
Au2 Au 0.250 0.069 0.750 1
```

Summary:
Energy   -3.241 eV per atom
Total magnetization   0.000 Bohr magnetons per cell